No. 1
The following is a DFT calculation (PBE-GGA) of a geometry-optimized Ag4Se2Cl3 structure.

Calculated values
The value obtained for the formation energy without anion corrections is -248 meV/atom. As for the density of states at the Fermi level: 0.41 states/eV per atom. The space-group type is C2/c, No. 15.

Cell lengths 8.564, 6.140, 9.384 Å; angles 109.10, 80.75, 90.00 degrees
Fractional positions:
Ag  0.437  0.687  0.891
Ag  0.063  0.796  0.109
Ag  0.563  0.313  0.109
Ag  0.937  0.204  0.891
Ag  0.887  0.488  0.401
Ag  0.613  0.087  0.599
Ag  0.113  0.512  0.599
Ag  0.387  0.913  0.401
Se  0.569  0.588  0.414
Se  0.931  0.174  0.586
Se  0.431  0.412  0.586
Se  0.069  0.826  0.414
Cl  0.136  0.874  0.819
Cl  0.364  0.055  0.181
Cl  0.864  0.126  0.181
Cl  0.636  0.945  0.819
Cl  0.750  0.552  0.000
Cl  0.250  0.448  0.000

No. 2
The following is a DFT calculation (PBE-GGA) of a geometry-optimized AgSeCl4 structure.

Calculated values
The value obtained for the formation energy without anion corrections is -279 meV/atom. As for the density of states at the Fermi level: 0.06 states/eV per atom. The space-group type is I-4, No. 82.

Cell lengths 6.365, 6.366, 6.365 Å; angles 107.98, 107.98, 112.50 degrees
Site moments in Bohr magnetons follow the coordinates.
Fractional positions:
Ag  0.750  0.250  0.500  0.07
Se  0.500  0.500  0.000  0.37
Cl  0.206  0.341  0.567  0.07
Cl  0.773  0.639  0.433  0.07
Cl  0.361  0.794  0.135  0.07
Cl  0.659  0.227  0.865  0.07

Q: Which value of formation energy without anion corrections does entry 1 give?
A: -248 meV/atom